Entry 1:
Material: GaRePb2Se
Method: DFT, PBE
State: relaxed

Cell: 5.5368 4.7817 5.5368 Å, 90.00 90.00 90.00°
Last column: nearest neighbours and their distance in Å.
Fractional positions:
Pb: 0.5000 0.0000 0.0000  2 Ga 2.77
Pb: 0.0000 0.0000 0.5000  2 Ga 2.77
Se: 0.5000 0.5000 0.5000  8 Pb 3.66, 4 Re 3.92
Ga: 0.0000 0.0000 0.0000  2 Re 2.39
Re: 0.0000 0.5000 0.0000  2 Ga 2.39

Values from the calculation:
Uncorrected formation energy, kcal/mol of atoms: 25.3
Space group: P4/mmm (123)


Entry 2:
Material: GaReSiPb2
Method: DFT, PBE
State: relaxed

Cell: 5.3902 4.7846 5.3902 Å, 90.00 90.00 90.00°
Last column: nearest neighbours and their distance in Å.
Fractional positions:
Ga: 0.0000 0.0000 0.0000  2 Re 2.39
Re: 0.0000 0.5000 0.0000  2 Ga 2.39
Pb: 0.5000 0.0000 0.0000  2 Ga 2.70
Pb: 0.0000 0.0000 0.5000  2 Ga 2.70
Si: 0.5000 0.5000 0.5000  8 Pb 3.60, 4 Re 3.81

Values from the calculation:
Uncorrected formation energy, kcal/mol of atoms: 33.1
Space group: P4/mmm (123)


Q: Look up the uncorrected formation energy of the second one.
A: 33.1 kcal/mol of atoms


Please write out number 2 again, unchanged.
Material: GaReSiPb2
Method: DFT, PBE
State: relaxed

Cell: 5.3902 4.7846 5.3902 Å, 90.00 90.00 90.00°
Last column: nearest neighbours and their distance in Å.
Fractional positions:
Ga: 0.0000 0.0000 0.0000  2 Re 2.39
Re: 0.0000 0.5000 0.0000  2 Ga 2.39
Pb: 0.5000 0.0000 0.0000  2 Ga 2.70
Pb: 0.0000 0.0000 0.5000  2 Ga 2.70
Si: 0.5000 0.5000 0.5000  8 Pb 3.60, 4 Re 3.81

Values from the calculation:
Uncorrected formation energy, kcal/mol of atoms: 33.1
Space group: P4/mmm (123)


Q: Among the records above, which one has the highest uncorrected formation energy?
A: GaReSiPb2


Q: Which of these has the highest uncorrected formation energy?
A: GaReSiPb2